[1]
Crystalline Al2ZnRhC at its relaxed geometry. Source: Alexandria via LeMat-Bulk, functional GGA-PBEsol.

Calculated values
ΔE_f in meV per atom: 144
Magnetic moment in μB per atom: 0.000
DOS(E_F) in states/eV/cell: 1.7
Space-group type: No. 123

Lattice parameters (Å, degrees): 3.9539 3.9539 4.0444 90.00 90.00 90.00
Fractional positions:
Al: 0.0000 0.5000 0.0000
Al: 0.5000 0.0000 0.0000
Zn: 0.0000 0.0000 0.5000
Rh: 0.5000 0.5000 0.5000
C: 0.0000 0.0000 0.0000



[2]
Crystalline Rb3Ti4TlP4O20 at its relaxed geometry. Source: Alexandria via LeMat-Bulk, functional GGA-PBEsol.

Calculated values
Calculated total energy in Ha/atom: -0.2862
Magnetic moment in μB per atom: 0.000
DOS(E_F) in states/eV/cell: 0.0
Space-group type: No. 4

Lattice parameters (Å, degrees): 6.4957 10.5801 12.9586 90.00 90.09 90.00
Fractional positions:
Rb: 0.1824 0.9997 0.1046
Rb: 0.2808 0.7508 0.3805
Rb: 0.3096 0.0000 0.6066
Rb: 0.6904 0.5000 0.3934
Rb: 0.7192 0.2508 0.6195
Rb: 0.8176 0.4997 0.8954
Ti: 0.0026 0.5637 0.6283
Ti: 0.2400 0.3132 0.7536
Ti: 0.2607 0.3134 0.2534
Ti: 0.4974 0.5637 0.1278
Ti: 0.5026 0.0637 0.8722
Ti: 0.7393 0.8134 0.7466
Ti: 0.7600 0.8132 0.2464
Ti: 0.9974 0.0637 0.3717
Tl: 0.2254 0.7542 0.8744
Tl: 0.7746 0.2542 0.1256
P: 0.0029 0.5570 0.1807
P: 0.1641 0.3092 0.5004
P: 0.3365 0.3092 0.0007
P: 0.4980 0.5564 0.6804
P: 0.5020 0.0564 0.3196
P: 0.6635 0.8092 0.9993
P: 0.8359 0.8092 0.4996
P: 0.9971 0.0570 0.8193
O: 0.0181 0.4222 0.5136
O: 0.0357 0.1865 0.4863
O: 0.0399 0.1716 0.7482
O: 0.0419 0.4278 0.7203
O: 0.0427 0.4418 0.2529
O: 0.0499 0.1814 0.2766
O: 0.1877 0.0268 0.8862
O: 0.1939 0.5842 0.1139
O: 0.1978 0.3301 0.9043
O: 0.2018 0.2900 0.0984
O: 0.2985 0.2886 0.5981
O: 0.3040 0.3304 0.4044
O: 0.3073 0.5848 0.6132
O: 0.3113 0.0280 0.3866
O: 0.4486 0.1803 0.7772
O: 0.4596 0.1710 0.2479
O: 0.4599 0.4404 0.7515
O: 0.4618 0.4263 0.2202
O: 0.4634 0.1854 0.9874
O: 0.4836 0.4217 0.0136
O: 0.5164 0.9217 0.9864
O: 0.5366 0.6854 0.0126
O: 0.5382 0.9263 0.7798
O: 0.5404 0.6710 0.7521
O: 0.5401 0.9404 0.2485
O: 0.5514 0.6803 0.2228
O: 0.6887 0.5280 0.6134
O: 0.6927 0.0848 0.3868
O: 0.6960 0.8304 0.5956
O: 0.7015 0.7886 0.4019
O: 0.7982 0.7900 0.9016
O: 0.8022 0.8301 0.0957
O: 0.8061 0.0842 0.8861
O: 0.8123 0.5268 0.1138
O: 0.9501 0.6814 0.7234
O: 0.9573 0.9418 0.7471
O: 0.9581 0.9278 0.2797
O: 0.9601 0.6716 0.2518
O: 0.9643 0.6865 0.5137
O: 0.9819 0.9222 0.4864



[3]
Crystalline YAl2Cu at its relaxed geometry. Source: Alexandria via LeMat-Bulk, functional GGA-PBEsol.

Calculated values
ΔE_f in meV per atom: -278
Magnetic moment in μB per atom: 0.000
DOS(E_F) in states/eV/cell: 2.2
Space-group type: No. 47

Lattice parameters (Å, degrees): 3.0228 3.1407 7.3095 90.00 90.00 90.00
Fractional positions:
Y: 0.0000 0.0000 0.0000
Al: 0.5000 0.5000 0.3040
Al: 0.5000 0.5000 0.6960
Cu: 0.0000 0.0000 0.5000



[4]
Crystalline Mg2Be3P3H13O19 at its relaxed geometry. Source: Alexandria via LeMat-Bulk, functional GGA-PBEsol.

Calculated values
Calculated total energy in Ha/atom: -0.2298
Magnetic moment in μB per atom: 0.000
DOS(E_F) in states/eV/cell: 0.0
Space-group type: No. 173

Lattice parameters (Å, degrees): 9.8868 9.8868 8.0341 90.00 90.00 120.00
Fractional positions:
Mg: 0.3333 0.6667 0.0000
Mg: 0.3333 0.6667 0.3648
Mg: 0.6667 0.3333 0.5000
Mg: 0.6667 0.3333 0.8648
Be: 0.0761 0.1943 0.8287
Be: 0.1182 0.9239 0.8287
Be: 0.1943 0.1182 0.3287
Be: 0.8057 0.8818 0.8287
Be: 0.8818 0.0761 0.3287
Be: 0.9239 0.8057 0.3287
P: 0.1218 0.3152 0.1514
P: 0.1934 0.8782 0.1514
P: 0.3152 0.1934 0.6514
P: 0.6848 0.8066 0.1514
P: 0.8066 0.1218 0.6514
P: 0.8782 0.6848 0.6514
H: 0.0000 0.0000 0.0076
H: 0.0000 0.0000 0.5076
H: 0.0704 0.4606 0.8910
H: 0.0761 0.6239 0.8325
H: 0.1144 0.3942 0.5202
H: 0.1584 0.5364 0.6414
H: 0.2798 0.8856 0.5202
H: 0.3761 0.4522 0.8325
H: 0.3780 0.8416 0.6414
H: 0.3902 0.9296 0.8910
H: 0.3942 0.2798 0.0202
H: 0.4522 0.0761 0.3325
H: 0.4606 0.3902 0.3910
H: 0.4636 0.6220 0.6414
H: 0.5364 0.3780 0.1414
H: 0.5394 0.6098 0.8910
H: 0.5478 0.9239 0.8325
H: 0.6058 0.7202 0.5202
H: 0.6098 0.0704 0.3910
H: 0.6220 0.1584 0.1414
H: 0.6239 0.5478 0.3325
H: 0.7202 0.1144 0.0202
H: 0.8416 0.4636 0.1414
H: 0.8856 0.6058 0.0202
H: 0.9239 0.3761 0.3325
H: 0.9296 0.5394 0.3910
O: 0.0000 0.0000 0.3847
O: 0.0000 0.0000 0.8847
O: 0.0081 0.7395 0.7864
O: 0.0141 0.8041 0.1642
O: 0.0510 0.2915 0.9743
O: 0.1383 0.5684 0.8449
O: 0.1625 0.5088 0.5220
O: 0.1959 0.2099 0.1642
O: 0.2099 0.0141 0.6642
O: 0.2399 0.4886 0.1776
O: 0.2405 0.9490 0.9743
O: 0.2487 0.7601 0.1776
O: 0.2605 0.2686 0.7864
O: 0.2686 0.0081 0.2864
O: 0.2915 0.2405 0.4743
O: 0.3463 0.8375 0.5220
O: 0.4302 0.8617 0.8449
O: 0.4316 0.5698 0.8449
O: 0.4886 0.2487 0.6776
O: 0.4912 0.6537 0.5220
O: 0.5088 0.3463 0.0220
O: 0.5114 0.7513 0.1776
O: 0.5684 0.4302 0.3449
O: 0.5698 0.1383 0.3449
O: 0.6537 0.1625 0.0220
O: 0.7085 0.7595 0.9743
O: 0.7314 0.9919 0.7864
O: 0.7395 0.7314 0.2864
O: 0.7513 0.2399 0.6776
O: 0.7595 0.0510 0.4743
O: 0.7601 0.5114 0.6776
O: 0.7901 0.9859 0.1642
O: 0.8041 0.7901 0.6642
O: 0.8375 0.4912 0.0220
O: 0.8617 0.4316 0.3449
O: 0.9490 0.7085 0.4743
O: 0.9859 0.1959 0.6642
O: 0.9919 0.2605 0.2864



[5]
Crystalline SrSe5 at its relaxed geometry. Source: Alexandria via LeMat-Bulk, functional GGA-PBEsol.

Calculated values
Calculated total energy in Ha/atom: -0.1425
Magnetic moment in μB per atom: 0.000
DOS(E_F) in states/eV/cell: 3.6
Space-group type: No. 189

Lattice parameters (Å, degrees): 6.4879 6.4879 3.9525 90.00 90.00 120.00
Fractional positions:
Sr: 0.0000 0.0000 0.0000
Se: 0.0000 0.6102 0.5000
Se: 0.3333 0.6667 0.0000
Se: 0.3898 0.3898 0.5000
Se: 0.6102 0.0000 0.5000
Se: 0.6667 0.3333 0.0000



[6]
Crystalline TaAlAu at its relaxed geometry. Source: Alexandria via LeMat-Bulk, functional GGA-PBEsol.

Calculated values
ΔE_f in meV per atom: -260
Magnetic moment in μB per atom: 0.000
DOS(E_F) in states/eV/cell: 1.7
Space-group type: No. 107

Lattice parameters (Å, degrees): 5.9850 5.9850 5.9850 151.52 151.52 40.72
Fractional positions:
Ta: 0.0000 0.0000 0.0000
Al: 0.6672 0.6672 0.0000
Au: 0.3206 0.3206 0.0000



[7]
Crystalline Y2Ga3Ag at its relaxed geometry. Source: Alexandria via LeMat-Bulk, functional GGA-PBEsol.

Calculated values
ΔE_f in meV per atom: -639
Magnetic moment in μB per atom: 0.000
DOS(E_F) in states/eV/cell: 1.6
Space-group type: No. 156

Lattice parameters (Å, degrees): 4.4279 4.4279 7.1187 90.00 90.00 120.00
Fractional positions:
Y: 0.0000 0.0000 0.0000
Y: 0.0000 0.0000 0.4837
Ga: 0.3333 0.6667 0.2702
Ga: 0.3333 0.6667 0.6952
Ga: 0.6667 0.3333 0.7856
Ag: 0.6667 0.3333 0.2105



[8]
Crystalline PtRhBr2 at its relaxed geometry. Source: Alexandria via LeMat-Bulk, functional GGA-PBEsol.

Calculated values
Calculated total energy in Ha/atom: -0.1502
Magnetic moment in μB per atom: 0.000
DOS(E_F) in states/eV/cell: 4.4
Space-group type: No. 166

Lattice parameters (Å, degrees): 11.0135 11.0135 11.0135 14.69 14.69 14.69
Fractional positions:
Pt: 0.0000 0.0000 0.0000
Rh: 0.5000 0.5000 0.5000
Br: 0.4276 0.4276 0.4276
Br: 0.5724 0.5724 0.5724



[9]
Crystalline YW3 at its relaxed geometry. Source: Alexandria via LeMat-Bulk, functional GGA-PBEsol.

Calculated values
ΔE_f in meV per atom: 658
Magnetic moment in μB per atom: 0.000
DOS(E_F) in states/eV/cell: 4.6
Space-group type: No. 166

Lattice parameters (Å, degrees): 9.3269 9.3269 9.3269 18.67 18.67 18.67
Fractional positions:
Y: 0.0000 0.0000 0.0000
W: 0.2404 0.2404 0.2404
W: 0.5000 0.5000 0.5000
W: 0.7596 0.7596 0.7596



[10]
Crystalline Ca2MgFe at its relaxed geometry. Source: Alexandria via LeMat-Bulk, functional GGA-PBEsol.

Calculated values
ΔE_f in meV per atom: 473
Magnetic moment in μB per atom: 0.531
DOS(E_F) in states/eV/cell: 8.3
Space-group type: No. 119

Lattice parameters (Å, degrees): 5.5922 5.5922 5.5922 130.84 130.84 72.07
Fractional positions:
Ca: 0.0000 0.0000 0.0000
Ca: 0.7500 0.2500 0.5000
Mg: 0.2500 0.7500 0.5000
Fe: 0.5000 0.5000 0.0000



[11]
Crystalline MgZr2Cl at its relaxed geometry. Source: Alexandria via LeMat-Bulk, functional GGA-PBEsol.

Calculated values
Calculated total energy in Ha/atom: -0.1967
Magnetic moment in μB per atom: 0.000
DOS(E_F) in states/eV/cell: 2.5
Space-group type: No. 139

Lattice parameters (Å, degrees): 5.8800 5.8800 5.8800 139.27 139.27 58.96
Fractional positions:
Mg: 0.0000 0.0000 0.0000
Zr: 0.2500 0.7500 0.5000
Zr: 0.7500 0.2500 0.5000
Cl: 0.5000 0.5000 0.0000



[12]
Crystalline PdSe8Cl2 at its relaxed geometry. Source: Alexandria via LeMat-Bulk, functional GGA-PBEsol.

Calculated values
Calculated total energy in Ha/atom: -0.1417
Magnetic moment in μB per atom: 0.000
Space-group type: No. 61

Lattice parameters (Å, degrees): 8.9864 13.5268 9.4823 90.00 90.00 90.00
Fractional positions:
Pd: 0.0000 0.0000 0.0000
Pd: 0.0000 0.5000 0.5000
Pd: 0.5000 0.0000 0.5000
Pd: 0.5000 0.5000 0.0000
Se: 0.0878 0.1227 0.3875
Se: 0.0878 0.3773 0.8875
Se: 0.0906 0.2284 0.1930
Se: 0.0906 0.2716 0.6930
Se: 0.1239 0.5236 0.1575
Se: 0.1239 0.9764 0.6575
Se: 0.2026 0.1164 0.0206
Se: 0.2026 0.3836 0.5206
Se: 0.2974 0.6164 0.0206
Se: 0.2974 0.8836 0.5206
Se: 0.3761 0.0236 0.1575
Se: 0.3761 0.4764 0.6575
Se: 0.4094 0.7284 0.1930
Se: 0.4094 0.7716 0.6930
Se: 0.4122 0.6227 0.3875
Se: 0.4122 0.8773 0.8875
Se: 0.5878 0.1227 0.1125
Se: 0.5878 0.3773 0.6125
Se: 0.5906 0.2284 0.3070
Se: 0.5906 0.2716 0.8070
Se: 0.6239 0.5236 0.3425
Se: 0.6239 0.9764 0.8425
Se: 0.7026 0.1164 0.4794
Se: 0.7026 0.3836 0.9794
Se: 0.7974 0.6164 0.4794
Se: 0.7974 0.8836 0.9794
Se: 0.8761 0.0236 0.3425
Se: 0.8761 0.4764 0.8425
Se: 0.9094 0.7284 0.3070
Se: 0.9094 0.7716 0.8070
Se: 0.9122 0.6227 0.1125
Se: 0.9122 0.8773 0.6125
Cl: 0.0991 0.6079 0.6618
Cl: 0.0991 0.8921 0.1618
Cl: 0.4009 0.1079 0.6618
Cl: 0.4009 0.3921 0.1618
Cl: 0.5991 0.6079 0.8382
Cl: 0.5991 0.8921 0.3382
Cl: 0.9009 0.1079 0.8382
Cl: 0.9009 0.3921 0.3382



[13]
Crystalline Ni3Bi2S2 at its relaxed geometry. Source: Alexandria via LeMat-Bulk, functional GGA-PBEsol.

Calculated values
Calculated total energy in Ha/atom: -0.2010
Magnetic moment in μB per atom: 0.000
DOS(E_F) in states/eV/cell: 3.5
Space-group type: No. 199

Lattice parameters (Å, degrees): 6.8324 6.8324 6.8324 109.47 109.47 109.47
Fractional positions:
Ni: 0.2338 0.7500 0.9838
Ni: 0.2500 0.5162 0.2662
Ni: 0.2662 0.2500 0.5162
Ni: 0.5162 0.2662 0.2500
Ni: 0.7500 0.9838 0.2338
Ni: 0.9838 0.2338 0.7500
Bi: 0.0000 0.4956 0.5000
Bi: 0.0044 0.0044 0.0044
Bi: 0.4956 0.5000 0.0000
Bi: 0.5000 0.0000 0.4956
S: 0.0000 0.9564 0.5000
S: 0.5000 0.0000 0.9564
S: 0.5436 0.5436 0.5436
S: 0.9564 0.5000 0.0000



[14]
Crystalline ZnOs2Rh at its relaxed geometry. Source: Alexandria via LeMat-Bulk, functional GGA-PBEsol.

Calculated values
ΔE_f in meV per atom: 408
Magnetic moment in μB per atom: 0.000
DOS(E_F) in states/eV/cell: 5.0
Space-group type: No. 65

Lattice parameters (Å, degrees): 2.6688 2.6688 9.0266 90.00 90.00 119.18
Fractional positions:
Zn: 0.0000 0.0000 0.0000
Os: 0.5000 0.5000 0.2472
Os: 0.5000 0.5000 0.7528
Rh: 0.0000 0.0000 0.5000



[15]
Crystalline Li3Ta at its relaxed geometry. Source: Alexandria via LeMat-Bulk, functional GGA-PBEsol.

Calculated values
ΔE_f in meV per atom: 472
Magnetic moment in μB per atom: 0.000
DOS(E_F) in states/eV/cell: 2.1
Space-group type: No. 25

Lattice parameters (Å, degrees): 2.5458 4.8144 5.4982 90.00 90.00 90.00
Fractional positions:
Li: 0.0000 0.0000 0.0000
Li: 0.0000 0.5000 0.2817
Li: 0.5000 0.0000 0.5083
Ta: 0.5000 0.5000 0.7867



[16]
Crystalline MnPbAu2 at its relaxed geometry. Source: Alexandria via LeMat-Bulk, functional GGA-PBEsol.

Calculated values
ΔE_f in meV per atom: 174
Magnetic moment in μB per atom: 1.002
DOS(E_F) in states/eV/cell: 1.7
Space-group type: No. 99

Lattice parameters (Å, degrees): 3.3801 3.3801 6.6717 90.00 90.00 90.00
Fractional positions:
Mn: 0.0000 0.0000 0.0000
Pb: 0.5000 0.5000 0.2936
Au: 0.0000 0.0000 0.5839
Au: 0.5000 0.5000 0.8171



[17]
Crystalline CuNiRh2 at its relaxed geometry. Source: Alexandria via LeMat-Bulk, functional GGA-PBEsol.

Calculated values
ΔE_f in meV per atom: 68
Magnetic moment in μB per atom: 0.000
DOS(E_F) in states/eV/cell: 5.8
Space-group type: No. 25

Lattice parameters (Å, degrees): 2.6304 3.6527 5.1217 90.00 90.00 90.00
Fractional positions:
Cu: 0.0000 0.0000 0.0000
Ni: 0.5000 0.5000 0.2372
Rh: 0.0000 0.0000 0.4887
Rh: 0.5000 0.5000 0.7408



[18]
Crystalline BaCoTe at its relaxed geometry. Source: Alexandria via LeMat-Bulk, functional GGA-PBEsol.

Calculated values
Calculated total energy in Ha/atom: -0.1671
Magnetic moment in μB per atom: 0.400
DOS(E_F) in states/eV/cell: 4.6
Space-group type: No. 107

Lattice parameters (Å, degrees): 6.3527 6.3527 6.3527 146.98 146.98 47.39
Fractional positions:
Ba: 0.0000 0.0000 0.0000
Co: 0.7162 0.7162 0.0000
Te: 0.2809 0.2809 0.0000